# ScAuS2N (PBE, relaxed)
# E_tot   -4.811 eV per atom
# Energy relative to the elements, uncorrected   427 meV/atom
# Energy above the most stable polymorph in this dataset   0.0000 eV/atom
# M_tot   0.00 μB per formula unit
# N(E_F)   7.1 states/eV/cell
data_ScAuS2N
_cell_length_a 4.9746
_cell_length_b 4.9746
_cell_length_c 4.0427
_cell_angle_alpha 90.00
_cell_angle_beta 90.00
_cell_angle_gamma 90.00
_symmetry_space_group_name_H-M 'P 4/m m m'
_symmetry_Int_Tables_number 123
_symmetry_space_group_name_Hall '-P 4 2'
loop_
_atom_site_label
_atom_site_fract_x
_atom_site_fract_y
_atom_site_fract_z
Sc1 0.0000 0.0000 0.0000
Au1 0.5000 0.5000 0.5000
S1 0.0000 0.5000 0.0000
N1 0.0000 0.0000 0.5000

***

# AuSeSN2 (PBE, relaxed)
# E_tot   -4.070 eV per atom
# Energy relative to the elements, uncorrected   1438 meV/atom
# Energy above the most stable polymorph in this dataset   0.0000 eV/atom
# M_tot   0.28 μB per formula unit
# N(E_F)   3.5 states/eV/cell
data_AuSeSN2
_cell_length_a 3.5390
_cell_length_b 3.5390
_cell_length_c 7.8730
_cell_angle_alpha 90.00
_cell_angle_beta 90.00
_cell_angle_gamma 90.00
_symmetry_space_group_name_H-M 'P 4/m m m'
_symmetry_Int_Tables_number 123
_symmetry_space_group_name_Hall '-P 4 2'
loop_
_atom_site_label
_atom_site_fract_x
_atom_site_fract_y
_atom_site_fract_z
Au1 0.0000 0.0000 0.0000
Se1 0.5000 0.5000 0.0000
S1 0.5000 0.5000 0.5000
N1 0.0000 0.5000 0.5000

***

# AuSeS2N (PBE, relaxed)
# E_tot   -3.305 eV per atom
# Energy relative to the elements, uncorrected   1363 meV/atom
# Energy above the most stable polymorph in this dataset   0.0877 eV/atom
# M_tot   0.00 μB per formula unit
# N(E_F)   4.3 states/eV/cell
data_AuSeS2N
_cell_length_a 5.0435
_cell_length_b 5.0435
_cell_length_c 3.7668
_cell_angle_alpha 90.00
_cell_angle_beta 90.00
_cell_angle_gamma 90.00
_symmetry_space_group_name_H-M 'P 4/m m m'
_symmetry_Int_Tables_number 123
_symmetry_space_group_name_Hall '-P 4 2'
loop_
_atom_site_label
_atom_site_fract_x
_atom_site_fract_y
_atom_site_fract_z
Au1 0.0000 0.0000 0.0000
Se1 0.5000 0.5000 0.5000
S1 0.0000 0.5000 0.0000
N1 0.0000 0.0000 0.5000

***

# AuSeSN2 (PBE, relaxed)
# E_tot   -3.967 eV per atom
# Energy relative to the elements, uncorrected   1541 meV/atom
# Energy above the most stable polymorph in this dataset   0.1023 eV/atom
# M_tot   0.63 μB per formula unit
# N(E_F)   2.6 states/eV/cell
data_AuSeSN2
_cell_length_a 3.6547
_cell_length_b 3.6547
_cell_length_c 6.4200
_cell_angle_alpha 90.00
_cell_angle_beta 90.00
_cell_angle_gamma 90.00
_symmetry_space_group_name_H-M 'P 4/m m m'
_symmetry_Int_Tables_number 123
_symmetry_space_group_name_Hall '-P 4 2'
loop_
_atom_site_label
_atom_site_fract_x
_atom_site_fract_y
_atom_site_fract_z
Au1 0.0000 0.0000 0.0000
Se1 0.5000 0.5000 0.5000
S1 0.5000 0.5000 0.0000
N1 0.0000 0.5000 0.5000

***

# AuSeS2N (PBE, relaxed)
# E_tot   -3.393 eV per atom
# Energy relative to the elements, uncorrected   1275 meV/atom
# Energy above the most stable polymorph in this dataset   0.0000 eV/atom
# M_tot   0.58 μB per formula unit
# N(E_F)   5.3 states/eV/cell
data_AuSeS2N
_cell_length_a 4.9469
_cell_length_b 4.9469
_cell_length_c 3.6161
_cell_angle_alpha 90.00
_cell_angle_beta 90.00
_cell_angle_gamma 90.00
_symmetry_space_group_name_H-M 'P 4/m m m'
_symmetry_Int_Tables_number 123
_symmetry_space_group_name_Hall '-P 4 2'
loop_
_atom_site_label
_atom_site_fract_x
_atom_site_fract_y
_atom_site_fract_z
Au1 0.0000 0.0000 0.0000
Se1 0.5000 0.5000 0.5000
S1 0.0000 0.5000 0.5000
N1 0.5000 0.5000 0.0000

***

# AuSe2SN (PBE, relaxed)
# E_tot   -3.166 eV per atom
# Energy relative to the elements, uncorrected   1374 meV/atom
# Energy above the most stable polymorph in this dataset   0.3941 eV/atom
# M_tot   0.00 μB per formula unit
# N(E_F)   4.6 states/eV/cell
data_AuSe2SN
_cell_length_a 5.2804
_cell_length_b 5.2804
_cell_length_c 3.7558
_cell_angle_alpha 90.00
_cell_angle_beta 90.00
_cell_angle_gamma 90.00
_symmetry_space_group_name_H-M 'P 4/m m m'
_symmetry_Int_Tables_number 123
_symmetry_space_group_name_Hall '-P 4 2'
loop_
_atom_site_label
_atom_site_fract_x
_atom_site_fract_y
_atom_site_fract_z
Au1 0.0000 0.0000 0.0000
Se1 0.0000 0.5000 0.0000
S1 0.5000 0.5000 0.5000
N1 0.0000 0.0000 0.5000

***

# AuSe2SN (PBE, relaxed)
# E_tot   -2.649 eV per atom
# Energy relative to the elements, uncorrected   1891 meV/atom
# Energy above the most stable polymorph in this dataset   0.9109 eV/atom
# M_tot   0.04 μB per formula unit
# N(E_F)   6.7 states/eV/cell
data_AuSe2SN
_cell_length_a 5.1650
_cell_length_b 5.1650
_cell_length_c 4.7858
_cell_angle_alpha 90.00
_cell_angle_beta 90.00
_cell_angle_gamma 90.00
_symmetry_space_group_name_H-M 'P 4/m m m'
_symmetry_Int_Tables_number 123
_symmetry_space_group_name_Hall '-P 4 2'
loop_
_atom_site_label
_atom_site_fract_x
_atom_site_fract_y
_atom_site_fract_z
Au1 0.0000 0.0000 0.0000
Se1 0.0000 0.5000 0.0000
S1 0.0000 0.0000 0.5000
N1 0.5000 0.5000 0.5000

***

# AuSeSN2 (PBE, relaxed)
# E_tot   -3.749 eV per atom
# Energy relative to the elements, uncorrected   1759 meV/atom
# Energy above the most stable polymorph in this dataset   0.3210 eV/atom
# M_tot   3.28 μB per formula unit
# N(E_F)   4.1 states/eV/cell
data_AuSeSN2
_cell_length_a 3.8690
_cell_length_b 3.8690
_cell_length_c 7.9211
_cell_angle_alpha 90.00
_cell_angle_beta 90.00
_cell_angle_gamma 90.00
_symmetry_space_group_name_H-M 'P 4/m m m'
_symmetry_Int_Tables_number 123
_symmetry_space_group_name_Hall '-P 4 2'
loop_
_atom_site_label
_atom_site_fract_x
_atom_site_fract_y
_atom_site_fract_z
Au1 0.0000 0.0000 0.0000
Se1 0.5000 0.5000 0.5000
S1 0.0000 0.0000 0.5000
N1 0.0000 0.5000 0.0000